Material: EuInRh
Method: DFT, GGA-PBE
State: relaxed

Summary:
The crystal system is cubic. As for the energy of formation: -0.41 eV/atom.

abc: 6.732 6.732 6.732
angles: 90.00 90.00 90.00
Space group F-43m (No. 216)
Inequivalent atoms, fractional coordinates:
Eu  0.000  0.000  0.000 (multiplicity 4)
In  0.000  0.000  0.500 (multiplicity 4)
Rh  0.250  0.250  0.750 (multiplicity 4)